{"formula": "HoTm2ZrN4", "functional": "PBE-GGA", "state": "optimized geometry", "n_ef_per_ev_cell": 1.1, "formation_energy_uncorrected_mev_per_atom": -1800, "magmom_total_mub_per_cell": 0.0, "total_energy_ev_per_cell": -69.77, "space_group": "P2/m, No. 10", "lattice_angstrom": [[5.830, 0.000, 0.000], [0.000, 3.365, 0.000], [-1.929, 0.000, 5.509]], "species": ["Ho", "Tm", "Tm", "Zr", "N", "N", "N", "N"], "fractional_positions": [[0.000, 0.000, 0.000], [0.500, 0.000, 0.500], [0.500, 0.500, 0.000], [0.000, 0.500, 0.500], [0.243, 0.000, 0.740], [0.247, 0.500, 0.258], [0.753, 0.500, 0.742], [0.757, 0.000, 0.260]]}

---

{"formula": "Rb3InF7", "functional": "PBE-GGA", "state": "optimized geometry", "formation_energy_uncorrected_mev_per_atom": -2463, "magmom_total_mub_per_cell": 1.2, "total_energy_ev_per_cell": -45.84, "space_group": "Cm, No. 8", "lattice_angstrom": [[4.670, -4.900, 0.000], [4.670, 4.900, 0.000], [-4.231, 0.000, 4.856]], "species": ["Rb", "Rb", "Rb", "In", "F", "F", "F", "F", "F", "F", "F"], "fractional_positions": [[0.000, 0.000, 0.000], [0.232, 0.697, 0.465], [0.697, 0.232, 0.465], [0.523, 0.523, 0.020], [0.157, 0.361, 0.599], [0.341, 0.774, 0.077], [0.355, 0.355, 0.127], [0.361, 0.157, 0.599], [0.643, 0.643, 0.840], [0.774, 0.341, 0.077], [0.794, 0.794, 0.431]]}

---

{"formula": "RbTa", "functional": "PBE-GGA", "state": "optimized geometry", "n_ef_per_ev_cell": 18.5, "magmom_total_mub_per_cell": 0.0, "total_energy_ev_per_cell": -83.61, "space_group": "Pnma, No. 62", "formation_enthalpy_0k_kj_per_mol_atoms": 114.3, "lattice_angstrom": [[11.605, 0.000, 0.000], [0.000, 4.871, 0.000], [0.000, 0.000, 12.070]], "species": ["Rb", "Rb", "Rb", "Rb", "Rb", "Rb", "Rb", "Rb", "Ta", "Ta", "Ta", "Ta", "Ta", "Ta", "Ta", "Ta"], "fractional_positions": [[0.133, 0.250, 0.118], [0.134, 0.250, 0.767], [0.366, 0.750, 0.267], [0.367, 0.750, 0.618], [0.633, 0.250, 0.382], [0.634, 0.250, 0.733], [0.866, 0.750, 0.233], [0.867, 0.750, 0.882], [0.056, 0.750, 0.482], [0.143, 0.250, 0.442], [0.357, 0.750, 0.942], [0.444, 0.250, 0.982], [0.556, 0.750, 0.018], [0.643, 0.250, 0.058], [0.857, 0.750, 0.558], [0.944, 0.250, 0.518]]}

---

{"formula": "InAg2Te", "functional": "PBE-GGA", "state": "optimized geometry", "n_ef_per_ev_cell": 2.0, "formation_energy_uncorrected_mev_per_atom": 36, "magmom_total_mub_per_cell": 0.0, "total_energy_ev_per_cell": -11.44, "space_group": "Pm, No. 6", "lattice_angstrom": [[3.120, 0.000, 0.000], [0.000, 4.201, 0.000], [-0.722, 0.000, 7.256]], "species": ["In", "Ag", "Ag", "Te"], "fractional_positions": [[0.000, 0.000, 0.000], [0.477, 0.500, 0.778], [0.954, 0.000, 0.592], [0.049, 0.500, 0.325]]}

---

{"formula": "Na3Dy2AlO6", "functional": "PBE-GGA", "state": "optimized geometry", "n_ef_per_ev_cell": 0.0, "formation_energy_uncorrected_mev_per_atom": -2622, "magmom_total_mub_per_cell": 0.0, "total_energy_ev_per_cell": -78.12, "space_group": "C2/m, No. 12", "lattice_angstrom": [[2.827, -4.914, 0.000], [2.827, 4.914, 0.000], [-1.845, 0.000, 5.533]], "species": ["Na", "Na", "Na", "Dy", "Dy", "Al", "O", "O", "O", "O", "O", "O"], "fractional_positions": [[0.000, 0.000, 0.000], [0.346, 0.654, 0.000], [0.654, 0.346, 0.000], [0.167, 0.833, 0.500], [0.833, 0.167, 0.500], [0.500, 0.500, 0.500], [0.134, 0.434, 0.296], [0.266, 0.266, 0.697], [0.434, 0.134, 0.296], [0.566, 0.866, 0.704], [0.734, 0.734, 0.303], [0.866, 0.566, 0.704]]}

---

{"formula": "PuThGaAg", "functional": "PBE-GGA", "state": "optimized geometry", "n_ef_per_ev_cell": 9.8, "magmom_total_mub_per_cell": 6.4, "total_energy_ev_per_cell": -28.18, "space_group": "F-43m, No. 216", "formation_enthalpy_0k_kj_per_mol_atoms": -13.4, "lattice_angstrom": [[0.000, 3.682, 3.682], [3.682, 0.000, 3.682], [3.682, 3.682, 0.000]], "species": ["Pu", "Th", "Ga", "Ag"], "fractional_positions": [[0.000, 0.000, 0.000], [0.500, 0.500, 0.500], [0.250, 0.250, 0.250], [0.750, 0.750, 0.750]]}

---

{"formula": "TaSiP2", "functional": "PBE-GGA", "state": "optimized geometry", "n_ef_per_ev_cell": 2.0, "formation_energy_uncorrected_mev_per_atom": -310, "magmom_total_mub_per_cell": 0.0, "total_energy_ev_per_cell": -29.34, "space_group": "Amm2, No. 38", "lattice_angstrom": [[3.421, 0.000, 0.000], [0.000, 1.703, 5.419], [0.000, -1.703, 5.419]], "species": ["Ta", "Si", "P", "P"], "fractional_positions": [[0.000, 0.000, 0.000], [0.500, 0.191, 0.191], [0.000, 0.679, 0.679], [0.500, 0.403, 0.403]]}

---

{"formula": "Ho2Ge3Pd5", "functional": "PBE-GGA", "state": "optimized geometry", "n_ef_per_ev_cell": 7.9, "magmom_total_mub_per_cell": 0.0, "total_energy_ev_per_cell": -113.79, "space_group": "Cmc2_1, No. 36", "formation_enthalpy_0k_kj_per_mol_atoms": -76.4, "lattice_angstrom": [[2.149, -12.126, 0.000], [2.149, 12.126, 0.000], [0.000, 0.000, 6.802]], "species": ["Ho", "Ho", "Ho", "Ho", "Ge", "Ge", "Ge", "Ge", "Ge", "Ge", "Pd", "Pd", "Pd", "Pd", "Pd", "Pd", "Pd", "Pd", "Pd", "Pd"], "fractional_positions": [[0.023, 0.977, 0.500], [0.325, 0.675, 0.453], [0.675, 0.325, 0.953], [0.977, 0.023, 0.000], [0.120, 0.880, 0.261], [0.275, 0.725, 0.903], [0.452, 0.548, 0.288], [0.548, 0.452, 0.788], [0.725, 0.275, 0.403], [0.880, 0.120, 0.761], [0.096, 0.904, 0.886], [0.198, 0.802, 0.630], [0.223, 0.777, 0.209], [0.377, 0.623, 0.008], [0.444, 0.556, 0.664], [0.556, 0.444, 0.164], [0.623, 0.377, 0.508], [0.777, 0.223, 0.709], [0.802, 0.198, 0.130], [0.904, 0.096, 0.386]]}

---

{"formula": "TiSeBr2Cl", "functional": "PBE-GGA", "state": "optimized geometry", "n_ef_per_ev_cell": 11.8, "formation_energy_uncorrected_mev_per_atom": 764, "magmom_total_mub_per_cell": 0.1, "total_energy_ev_per_cell": -12.75, "space_group": "P4/mmm, No. 123", "lattice_angstrom": [[5.037, 0.000, 0.000], [0.000, 5.037, 0.000], [0.000, 0.000, 5.465]], "species": ["Ti", "Se", "Br", "Br", "Cl"], "fractional_positions": [[0.000, 0.000, 0.000], [0.500, 0.500, 0.000], [0.000, 0.500, 0.500], [0.500, 0.000, 0.500], [0.500, 0.500, 0.500]]}

---

{"formula": "La2TeRh2", "functional": "PBE-GGA", "state": "optimized geometry", "n_ef_per_ev_cell": 0.3, "formation_energy_uncorrected_mev_per_atom": -878, "magmom_total_mub_per_cell": 0.0, "total_energy_ev_per_cell": -32.09, "space_group": "I4/mmm, No. 139", "lattice_angstrom": [[-2.787, 2.787, 4.113], [2.787, -2.787, 4.113], [2.787, 2.787, -4.113]], "species": ["La", "La", "Te", "Rh", "Rh"], "fractional_positions": [[0.250, 0.750, 0.500], [0.750, 0.250, 0.500], [0.000, 0.000, 0.000], [0.340, 0.340, 0.000], [0.660, 0.660, 0.000]]}

---

{"formula": "Tc2Hg2Os", "functional": "PBE-GGA", "state": "optimized geometry", "n_ef_per_ev_cell": 7.2, "magmom_total_mub_per_cell": 0.5, "total_energy_ev_per_cell": -26.58, "space_group": "I4/mmm, No. 139", "formation_enthalpy_0k_kj_per_mol_atoms": 115.5, "lattice_angstrom": [[-1.717, 1.717, 7.978], [1.717, -1.717, 7.978], [1.717, 1.717, -7.978]], "species": ["Tc", "Tc", "Hg", "Hg", "Os"], "fractional_positions": [[0.250, 0.750, 0.500], [0.750, 0.250, 0.500], [0.099, 0.099, 0.000], [0.901, 0.901, 0.000], [0.500, 0.500, 0.000]]}

---

{"formula": "BeAgSe2", "functional": "PBE-GGA", "state": "optimized geometry", "n_ef_per_ev_cell": 3.0, "formation_energy_uncorrected_mev_per_atom": 641, "magmom_total_mub_per_cell": 0.0, "total_energy_ev_per_cell": -10.98, "space_group": "F-43m, No. 216", "lattice_angstrom": [[0.000, 3.312, 3.312], [3.312, 0.000, 3.312], [3.312, 3.312, 0.000]], "species": ["Be", "Ag", "Se", "Se"], "fractional_positions": [[0.000, 0.000, 0.000], [0.250, 0.250, 0.250], [0.500, 0.500, 0.500], [0.750, 0.750, 0.750]]}

---

{"formula": "TaAg2F", "functional": "PBE-GGA", "state": "optimized geometry", "n_ef_per_ev_cell": 1.9, "formation_energy_uncorrected_mev_per_atom": 196, "magmom_total_mub_per_cell": 0.0, "total_energy_ev_per_cell": -37.28, "space_group": "I-42d, No. 122", "lattice_angstrom": [[-3.643, 3.643, 2.522], [3.643, -3.643, 2.522], [3.643, 3.643, -2.522]], "species": ["Ta", "Ta", "Ag", "Ag", "Ag", "Ag", "F", "F"], "fractional_positions": [[0.000, 0.000, 0.000], [0.750, 0.250, 0.500], [0.168, 0.625, 0.043], [0.375, 0.418, 0.543], [0.582, 0.125, 0.957], [0.875, 0.832, 0.457], [0.250, 0.750, 0.500], [0.500, 0.500, 0.000]]}

---

{"formula": "Sc2Be2As", "functional": "PBE-GGA", "state": "optimized geometry", "n_ef_per_ev_cell": 4.9, "magmom_total_mub_per_cell": 0.0, "total_energy_ev_per_cell": -53.66, "space_group": "P4/mbm, No. 127", "formation_enthalpy_0k_kj_per_mol_atoms": -39.9, "lattice_angstrom": [[6.188, 0.000, 0.000], [0.000, 6.188, 0.000], [0.000, 0.000, 4.001]], "species": ["Sc", "Sc", "Sc", "Sc", "Be", "Be", "Be", "Be", "As", "As"], "fractional_positions": [[0.169, 0.331, 0.000], [0.331, 0.831, 0.000], [0.669, 0.169, 0.000], [0.831, 0.669, 0.000], [0.121, 0.621, 0.500], [0.379, 0.121, 0.500], [0.621, 0.879, 0.500], [0.879, 0.379, 0.500], [0.000, 0.000, 0.500], [0.500, 0.500, 0.500]]}

---

{"formula": "MnInSb2", "functional": "PBE-GGA", "state": "optimized geometry", "n_ef_per_ev_cell": 3.5, "formation_energy_uncorrected_mev_per_atom": 130, "magmom_total_mub_per_cell": 2.5, "total_energy_ev_per_cell": -19.63, "space_group": "P4/mmm, No. 123", "lattice_angstrom": [[3.340, 0.000, 0.000], [0.000, 3.340, 0.000], [0.000, 0.000, 8.383]], "species": ["Mn", "In", "Sb", "Sb"], "fractional_positions": [[0.000, 0.000, 0.000], [0.000, 0.000, 0.500], [0.500, 0.500, 0.190], [0.500, 0.500, 0.810]]}

---

{"formula": "BaCoTe", "functional": "PBE-GGA", "state": "optimized geometry", "n_ef_per_ev_cell": 4.5, "formation_energy_uncorrected_mev_per_atom": -73, "magmom_total_mub_per_cell": 1.4, "total_energy_ev_per_cell": -12.39, "space_group": "I4mm, No. 107", "lattice_angstrom": [[-1.881, 1.881, 5.825], [1.881, -1.881, 5.825], [1.881, 1.881, -5.825]], "species": ["Ba", "Co", "Te"], "fractional_positions": [[0.000, 0.000, 0.000], [0.281, 0.281, 0.000], [0.717, 0.717, 0.000]]}

---

{"formula": "LiGeTe2I", "functional": "PBE-GGA", "state": "optimized geometry", "n_ef_per_ev_cell": 4.5, "formation_energy_uncorrected_mev_per_atom": 246, "magmom_total_mub_per_cell": 0.0, "total_energy_ev_per_cell": -13.14, "space_group": "P4/mmm, No. 123", "lattice_angstrom": [[5.180, 0.000, 0.000], [0.000, 5.180, 0.000], [0.000, 0.000, 5.283]], "species": ["Li", "Ge", "Te", "Te", "I"], "fractional_positions": [[0.000, 0.000, 0.000], [0.500, 0.500, 0.500], [0.000, 0.500, 0.000], [0.500, 0.000, 0.000], [0.000, 0.000, 0.500]]}

---

{"formula": "MnAl2Pb", "functional": "PBE-GGA", "state": "optimized geometry", "n_ef_per_ev_cell": 2.5, "magmom_total_mub_per_cell": 3.7, "total_energy_ev_per_cell": -18.55, "space_group": "F-43m, No. 216", "formation_enthalpy_0k_kj_per_mol_atoms": 43.8, "lattice_angstrom": [[0.000, 3.429, 3.429], [3.429, 0.000, 3.429], [3.429, 3.429, 0.000]], "species": ["Mn", "Al", "Al", "Pb"], "fractional_positions": [[0.000, 0.000, 0.000], [0.500, 0.500, 0.500], [0.750, 0.750, 0.750], [0.250, 0.250, 0.250]]}

---

{"formula": "TlCrIn2", "functional": "PBE-GGA", "state": "optimized geometry", "n_ef_per_ev_cell": 2.2, "magmom_total_mub_per_cell": 4.4, "total_energy_ev_per_cell": -15.85, "space_group": "F-43m, No. 216", "formation_enthalpy_0k_kj_per_mol_atoms": 38.9, "lattice_angstrom": [[0.000, 3.654, 3.654], [3.654, 0.000, 3.654], [3.654, 3.654, 0.000]], "species": ["Tl", "Cr", "In", "In"], "fractional_positions": [[0.000, 0.000, 0.000], [0.250, 0.250, 0.250], [0.500, 0.500, 0.500], [0.750, 0.750, 0.750]]}

---

{"formula": "Sr2CeTaO6", "functional": "PBE-GGA", "state": "optimized geometry", "n_ef_per_ev_cell": 10.1, "formation_energy_uncorrected_mev_per_atom": -3081, "magmom_total_mub_per_cell": 2.1, "total_energy_ev_per_cell": -163.41, "space_group": "P2_1/c, No. 14", "lattice_angstrom": [[5.916, 0.000, 0.000], [0.000, 6.058, 0.000], [-5.871, 0.000, 8.438]], "species": ["Sr", "Sr", "Sr", "Sr", "Ce", "Ce", "Ta", "Ta", "O", "O", "O", "O", "O", "O", "O", "O", "O", "O", "O", "O"], "fractional_positions": [[0.240, 0.044, 0.251], [0.240, 0.456, 0.751], [0.760, 0.544, 0.249], [0.760, 0.956, 0.749], [0.500, 0.000, 0.000], [0.500, 0.500, 0.500], [0.000, 0.000, 0.500], [0.000, 0.500, 0.000], [0.130, 0.227, 0.946], [0.130, 0.273, 0.446], [0.229, 0.688, 0.954], [0.229, 0.812, 0.454], [0.322, 0.035, 0.729], [0.322, 0.465, 0.229], [0.678, 0.535, 0.771], [0.678, 0.965, 0.271], [0.771, 0.188, 0.546], [0.771, 0.312, 0.046], [0.870, 0.727, 0.554], [0.870, 0.773, 0.054]]}

---

{"formula": "SrAgBi2Pd", "functional": "PBE-GGA", "state": "optimized geometry", "n_ef_per_ev_cell": 4.0, "magmom_total_mub_per_cell": 0.0, "total_energy_ev_per_cell": -15.74, "space_group": "P4/mmm, No. 123", "formation_enthalpy_0k_kj_per_mol_atoms": 33.7, "lattice_angstrom": [[5.439, 0.000, 0.000], [0.000, 5.439, 0.000], [0.000, 0.000, 5.758]], "species": ["Sr", "Ag", "Bi", "Bi", "Pd"], "fractional_positions": [[0.000, 0.000, 0.000], [0.000, 0.000, 0.500], [0.000, 0.500, 0.500], [0.500, 0.000, 0.500], [0.500, 0.500, 0.000]]}

---

{"formula": "NaCa2PuBi4", "functional": "PBE-GGA", "state": "optimized geometry", "n_ef_per_ev_cell": 16.4, "magmom_total_mub_per_cell": 5.7, "total_energy_ev_per_cell": -38.97, "space_group": "R-3m, No. 166", "formation_enthalpy_0k_kj_per_mol_atoms": -45.7, "lattice_angstrom": [[2.789, 1.610, 9.159], [-2.789, 1.610, 9.159], [0.000, -3.220, 9.159]], "species": ["Na", "Ca", "Ca", "Pu", "Bi", "Bi", "Bi", "Bi"], "fractional_positions": [[0.000, 0.000, 0.000], [0.257, 0.257, 0.257], [0.743, 0.743, 0.743], [0.500, 0.500, 0.500], [0.128, 0.128, 0.128], [0.378, 0.378, 0.378], [0.622, 0.622, 0.622], [0.872, 0.872, 0.872]]}

---

{"formula": "RbLiZnHSe", "functional": "PBE-GGA", "state": "optimized geometry", "n_ef_per_ev_cell": 1.2, "magmom_total_mub_per_cell": 0.0, "total_energy_ev_per_cell": -13.42, "space_group": "Cm, No. 8", "lattice_angstrom": [[6.664, -1.970, 0.000], [6.664, 1.970, 0.000], [-0.425, 0.000, 4.249]], "species": ["Rb", "Li", "Zn", "H", "Se"], "fractional_positions": [[0.000, 0.000, 0.000], [0.748, 0.748, 0.075], [0.275, 0.275, 0.574], [0.321, 0.321, 0.975], [0.647, 0.647, 0.543]]}

---

{"formula": "LaY2SnN", "functional": "PBE-GGA", "state": "optimized geometry", "n_ef_per_ev_cell": 2.4, "formation_energy_uncorrected_mev_per_atom": -1022, "magmom_total_mub_per_cell": 0.0, "total_energy_ev_per_cell": -35.29, "space_group": "P4/mmm, No. 123", "lattice_angstrom": [[4.854, 0.000, 0.000], [0.000, 4.854, 0.000], [0.000, 0.000, 5.067]], "species": ["La", "Y", "Y", "Sn", "N"], "fractional_positions": [[0.000, 0.000, 0.000], [0.000, 0.500, 0.500], [0.500, 0.000, 0.500], [0.500, 0.500, 0.000], [0.000, 0.000, 0.500]]}

---

{"formula": "Sr2GaSi4Pd3", "functional": "PBE-GGA", "state": "optimized geometry", "n_ef_per_ev_cell": 5.7, "formation_energy_uncorrected_mev_per_atom": -627, "magmom_total_mub_per_cell": 0.0, "total_energy_ev_per_cell": -49.93, "space_group": "P-4m2, No. 115", "lattice_angstrom": [[4.274, 0.000, 0.000], [0.000, 4.274, 0.000], [0.000, 0.000, 10.380]], "species": ["Sr", "Sr", "Ga", "Si", "Si", "Si", "Si", "Pd", "Pd", "Pd"], "fractional_positions": [[0.000, 0.500, 0.247], [0.500, 0.000, 0.753], [0.000, 0.000, 0.500], [0.000, 0.000, 0.000], [0.000, 0.500, 0.638], [0.500, 0.000, 0.362], [0.500, 0.500, 0.000], [0.000, 0.500, 0.879], [0.500, 0.000, 0.121], [0.500, 0.500, 0.500]]}